Rb2YBeB | meta-GGA SCAN | single point on PBEsol structure

```
data_Rb2YBeB
_cell_length_a 6.6526
_cell_length_b 6.6526
_cell_length_c 3.6703
_cell_angle_alpha 90.00
_cell_angle_beta 90.00
_cell_angle_gamma 90.00
_space_group_name_H-M_alt 'P 4/m m m'
_space_group_IT_number 123
_space_group_name_Hall '-P 4 2'
loop_
_atom_site_label
_atom_site_type_symbol
_atom_site_fract_x
_atom_site_fract_y
_atom_site_fract_z
_atom_site_occupancy
Rb1 Rb 0.0000 0.5000 0.0000 1
Y1 Y 0.0000 0.0000 0.5000 1
Be1 Be 0.5000 0.5000 0.0000 1
B1 B 0.5000 0.5000 0.5000 1
```

Results
Magnetization = 0.0 μB/f.u.
DFT formation energy = 99 kJ per mole of atoms